1.
Entry from Alexandria: TbPuAl2 after structural relaxation (PBE).

Cell and atoms, written as CIF:
```
data_TbPuAl2
_chemical_formula_sum 'Tb1 Pu1 Al2'
_cell_length_a 3.198
_cell_length_b 3.198
_cell_length_c 8.866
_cell_angle_alpha 90.00
_cell_angle_beta 90.00
_cell_angle_gamma 90.00
_symmetry_space_group_name_H-M 'P 4/m m m'
_symmetry_Int_Tables_number 123
_symmetry_space_group_name_Hall '-P 4 2'
loop_
_atom_site_label
_atom_site_type_symbol
_atom_site_fract_x
_atom_site_fract_y
_atom_site_fract_z
Tb1 Tb 0.000 0.000 0.000
Pu1 Pu 0.000 0.000 0.500
Al1 Al 0.500 0.500 0.251
```

Total magnetic moment ... 5.4 Bohr magnetons per cell
E_form ... -0.245 eV/atom
VASP energy ... -27.4 eV/f.u.
Calculated density ... 8.4 g cm⁻³
V ... 22.7 A^3/atom
Relative energy among the computed polymorphs ... 0.000 eV/atom


2.
Entry from Alexandria: LiLu2Pa after structural relaxation (PBE).

Cell and atoms, written as CIF:
```
data_LiLu2Pa
_chemical_formula_sum 'Li3 Lu6 Pa3'
_cell_length_a 3.1967
_cell_length_b 3.1967
_cell_length_c 35.0759
_cell_angle_alpha 90.00
_cell_angle_beta 90.00
_cell_angle_gamma 120.00
_symmetry_space_group_name_H-M 'R -3 m'
_symmetry_Int_Tables_number 166
_symmetry_space_group_name_Hall '-R 3 2"'
loop_
_atom_site_label
_atom_site_type_symbol
_atom_site_fract_x
_atom_site_fract_y
_atom_site_fract_z
Li1 Li 0.0000 0.0000 0.0000
Lu1 Lu 0.0000 0.0000 0.4108
Pa1 Pa 0.0000 0.0000 0.5000
```

Total magnetic moment ... 0.0 Bohr magnetons per cell
E_form ... 0.326 eV/atom
VASP energy ... -19.1 eV/f.u.
Calculated density ... 9.4 g cm⁻³
V ... 25.9 A^3/atom
Relative energy among the computed polymorphs ... 0.193 eV/atom


3.
Entry from Alexandria: TiOsRuS after structural relaxation (PBE).

Cell and atoms, written as CIF:
```
data_TiOsRuS
_chemical_formula_sum 'Ti2 Os2 Ru2 S2'
_cell_length_a 9.461
_cell_length_b 3.001
_cell_length_c 4.417
_cell_angle_alpha 90.00
_cell_angle_beta 101.43
_cell_angle_gamma 90.00
_symmetry_space_group_name_H-M 'C 1 m 1'
_symmetry_Int_Tables_number 8
_symmetry_space_group_name_Hall 'C -2y'
loop_
_atom_site_label
_atom_site_type_symbol
_atom_site_fract_x
_atom_site_fract_y
_atom_site_fract_z
Ti1 Ti 0.000 0.000 0.000
Os1 Os 0.009 0.500 0.515
Ru1 Ru 0.236 0.000 0.633
S1 S 0.299 0.000 0.153
```

Total magnetic moment ... 0.0 Bohr magnetons per cell
VASP energy ... -33.4 eV/f.u.
Uncorrected formation energy ... -0.21 eV per atom
Calculated density ... 10.0 g cm⁻³
V ... 15.4 A^3/atom
Relative energy among the computed polymorphs ... 0.126 eV/atom


4.
Entry from Alexandria: TaSi2AuBr after structural relaxation (PBE).

Cell and atoms, written as CIF:
```
data_TaSi2AuBr
_chemical_formula_sum 'Ta1 Si2 Au1 Br1'
_cell_length_a 4.684
_cell_length_b 4.684
_cell_length_c 5.596
_cell_angle_alpha 90.00
_cell_angle_beta 90.00
_cell_angle_gamma 90.00
_symmetry_space_group_name_H-M 'P 4/m m m'
_symmetry_Int_Tables_number 123
_symmetry_space_group_name_Hall '-P 4 2'
loop_
_atom_site_label
_atom_site_type_symbol
_atom_site_fract_x
_atom_site_fract_y
_atom_site_fract_z
Ta1 Ta 0.000 0.000 0.000
Si1 Si 0.000 0.500 0.500
Au1 Au 0.000 0.000 0.500
Br1 Br 0.500 0.500 0.000
```

Total magnetic moment ... 2.7 Bohr magnetons per cell
VASP energy ... -21.4 eV/f.u.
Uncorrected formation energy ... 1.25 eV per atom
Calculated density ... 7.0 g cm⁻³
V ... 24.6 A^3/atom